Entry 1:
A plane-wave DFT calculation with PBE was carried out for a relaxed PrNd2DyEr crystal.

Computed properties:
Formation energy in kJ/mol of formula units: 133.1
Total energy in eV/atom: -4.42

Cell and atoms, written as POSCAR:
```
PrNd2DyEr
1.0
8.341 0.000 0.000
0.000 6.708 0.000
-0.199 0.000 6.233
Pr Nd Dy Er
2 4 2 2
Direct
0.000 0.000 0.000
0.000 0.000 0.500
0.308 0.309 0.240
0.308 0.691 0.740
0.692 0.309 0.260
0.692 0.691 0.760
0.000 0.427 0.750
0.000 0.573 0.250
0.500 0.158 0.750
0.500 0.842 0.250
```



Entry 2:
A plane-wave DFT calculation with PBE was carried out for a relaxed Pr2NdDyEr2 crystal.

Computed properties:
Formation energy in kJ/mol of formula units: 37.7
Total energy in eV/atom: -4.61

Cell and atoms, written as POSCAR:
```
Pr2NdDyEr2
1.0
7.083 0.000 0.000
0.000 5.705 0.000
0.000 0.000 9.876
Pr Nd Dy Er
4 2 2 4
Direct
0.000 0.000 0.000
0.250 0.500 0.176
0.500 0.000 0.000
0.750 0.500 0.824
0.250 0.000 0.659
0.750 0.000 0.341
0.000 0.500 0.500
0.500 0.500 0.500
0.250 0.000 0.332
0.250 0.500 0.835
0.750 0.000 0.668
0.750 0.500 0.165
```



Entry 3:
A plane-wave DFT calculation with PBE was carried out for a relaxed Pr6Nd2DyEr crystal.

Computed properties:
Formation energy in kJ/mol of formula units: 108.8
Total energy in eV/atom: -4.62

Cell and atoms, written as POSCAR:
```
Pr6Nd2DyEr
1.0
4.652 -7.745 0.000
4.652 7.745 0.000
-1.474 0.000 9.786
Pr Nd Dy Er
12 4 2 2
Direct
0.012 0.572 0.190
0.120 0.755 0.554
0.245 0.880 0.946
0.293 0.502 0.382
0.428 0.988 0.310
0.498 0.707 0.118
0.502 0.293 0.882
0.572 0.012 0.690
0.707 0.498 0.618
0.755 0.120 0.054
0.880 0.245 0.446
0.988 0.428 0.810
0.196 0.294 0.043
0.294 0.196 0.543
0.706 0.804 0.457
0.804 0.706 0.957
0.021 0.979 0.250
0.979 0.021 0.750
0.409 0.591 0.750
0.591 0.409 0.250
```



Entry 4:
A plane-wave DFT calculation with PBE was carried out for a relaxed Pr2NdDyEr5 crystal.

Computed properties:
Formation energy in kJ/mol of formula units: 227.7
Total energy in eV/atom: -4.38

Cell and atoms, written as POSCAR:
```
Pr2NdDyEr5
1.0
-4.352 4.352 7.766
4.352 -4.352 7.766
4.352 4.352 -7.766
Pr Nd Dy Er
4 2 2 10
Direct
0.117 0.617 0.735
0.383 0.117 0.500
0.617 0.883 0.500
0.883 0.383 0.265
0.250 0.250 0.000
0.750 0.750 0.000
0.250 0.750 0.500
0.750 0.250 0.500
0.000 0.000 0.000
0.072 0.150 0.500
0.150 0.650 0.077
0.350 0.428 0.500
0.428 0.928 0.077
0.500 0.500 0.000
0.572 0.072 0.923
0.650 0.572 0.500
0.850 0.350 0.923
0.928 0.850 0.500
```



Entry 5:
A plane-wave DFT calculation with PBE was carried out for a relaxed PrNdDyEr2 crystal.

Computed properties:
Formation energy in kJ/mol of formula units: 165.0
Total energy in eV/atom: -4.31

Cell and atoms, written as POSCAR:
```
PrNdDyEr2
1.0
3.218 -8.342 0.000
3.218 8.342 0.000
0.000 0.000 6.428
Pr Nd Dy Er
2 2 2 4
Direct
0.158 0.842 0.750
0.842 0.158 0.250
0.344 0.656 0.750
0.656 0.344 0.250
0.231 0.769 0.250
0.769 0.231 0.750
0.247 0.247 0.000
0.247 0.247 0.500
0.753 0.753 0.000
0.753 0.753 0.500
```



Entry 6:
A plane-wave DFT calculation with PBE was carried out for a relaxed Pr4Nd2DyEr crystal.

Computed properties:
Formation energy in kJ/mol of formula units: 10.9
Total energy in eV/atom: -4.71

Cell and atoms, written as POSCAR:
```
Pr4Nd2DyEr
1.0
5.174 0.000 0.000
0.000 5.207 0.000
-0.020 0.000 10.275
Pr Nd Dy Er
4 2 1 1
Direct
0.000 0.000 0.249
0.000 0.000 0.751
0.500 0.500 0.250
0.500 0.500 0.750
0.000 0.500 0.000
0.500 0.000 0.500
0.000 0.500 0.500
0.500 0.000 0.000
```



Entry 7:
A plane-wave DFT calculation with PBE was carried out for a relaxed Pr2Nd4DyEr crystal.

Computed properties:
Formation energy in kJ/mol of formula units: 11.6
Total energy in eV/atom: -4.71

Cell and atoms, written as POSCAR:
```
Pr2Nd4DyEr
1.0
5.154 0.000 0.000
0.000 5.180 0.000
-0.021 0.000 10.298
Pr Nd Dy Er
2 4 1 1
Direct
0.000 0.000 0.000
0.500 0.500 0.500
0.000 0.500 0.249
0.000 0.500 0.751
0.499 0.000 0.750
0.501 0.000 0.250
0.000 0.000 0.500
0.500 0.500 0.000
```



Entry 8:
A plane-wave DFT calculation with PBE was carried out for a relaxed Pr2NdDy6Er3 crystal.

Computed properties:
Formation energy in kJ/mol of formula units: 24.1
Total energy in eV/atom: -4.61

Cell and atoms, written as POSCAR:
```
Pr2NdDy6Er3
1.0
3.098 -5.363 0.000
3.098 5.363 0.000
-2.059 0.000 11.643
Pr Nd Dy Er
2 1 6 3
Direct
0.167 0.833 0.000
0.833 0.167 0.000
0.500 0.500 0.000
0.081 0.414 0.745
0.253 0.253 0.255
0.414 0.081 0.745
0.586 0.919 0.255
0.747 0.747 0.745
0.919 0.586 0.255
0.000 0.000 0.500
0.333 0.667 0.500
0.667 0.333 0.500
```



Entry 9:
A plane-wave DFT calculation with PBE was carried out for a relaxed PrNd2Dy2Er crystal.

Computed properties:
Formation energy in kJ/mol of formula units: 36.0
Total energy in eV/atom: -4.62

Cell and atoms, written as POSCAR:
```
PrNd2Dy2Er
1.0
7.063 0.000 0.000
0.000 9.896 0.000
0.000 0.000 5.685
Pr Nd Dy Er
2 4 4 2
Direct
0.000 0.000 0.000
0.500 0.500 0.500
0.248 0.333 0.000
0.252 0.833 0.500
0.748 0.167 0.500
0.752 0.667 0.000
0.249 0.667 0.000
0.251 0.167 0.500
0.749 0.833 0.500
0.751 0.333 0.000
0.000 0.500 0.500
0.500 0.000 0.000
```



Entry 10:
A plane-wave DFT calculation with PBE was carried out for a relaxed Pr6Nd3DyEr2 crystal.

Computed properties:
Formation energy in kJ/mol of formula units: 17.1
Total energy in eV/atom: -4.71

Cell and atoms, written as POSCAR:
```
Pr6Nd3DyEr2
1.0
3.177 -5.505 0.000
3.177 5.505 0.000
-2.114 0.000 11.850
Pr Nd Dy Er
6 3 1 2
Direct
0.084 0.418 0.755
0.249 0.249 0.245
0.418 0.084 0.755
0.582 0.916 0.245
0.751 0.751 0.755
0.916 0.582 0.245
0.000 0.000 0.500
0.333 0.667 0.500
0.667 0.333 0.500
0.500 0.500 0.000
0.167 0.833 0.000
0.833 0.167 0.000
```



Entry 11:
A plane-wave DFT calculation with PBE was carried out for a relaxed PrNd3Dy2Er6 crystal.

Computed properties:
Formation energy in kJ/mol of formula units: 20.4
Total energy in eV/atom: -4.62

Cell and atoms, written as POSCAR:
```
PrNd3Dy2Er6
1.0
3.100 -5.367 0.000
3.100 5.367 0.000
-2.059 0.000 11.584
Pr Nd Dy Er
1 3 2 6
Direct
0.000 0.000 0.000
0.167 0.833 0.500
0.500 0.500 0.500
0.833 0.167 0.500
0.333 0.667 0.000
0.667 0.333 0.000
0.083 0.417 0.248
0.251 0.251 0.752
0.417 0.083 0.248
0.583 0.917 0.752
0.749 0.749 0.248
0.917 0.583 0.752
```



Entry 12:
A plane-wave DFT calculation with PBE was carried out for a relaxed Pr2NdDy6Er crystal.

Computed properties:
Formation energy in kJ/mol of formula units: 112.3
Total energy in eV/atom: -4.53

Cell and atoms, written as POSCAR:
```
Pr2NdDy6Er
1.0
4.539 -7.541 0.000
4.539 7.541 0.000
-1.518 0.000 9.646
Pr Nd Dy Er
4 2 12 2
Direct
0.195 0.296 0.043
0.296 0.195 0.543
0.704 0.805 0.457
0.805 0.704 0.957
0.017 0.983 0.250
0.983 0.017 0.750
0.020 0.573 0.187
0.122 0.740 0.557
0.260 0.878 0.943
0.296 0.509 0.381
0.427 0.980 0.313
0.491 0.704 0.119
0.509 0.296 0.881
0.573 0.020 0.687
0.704 0.491 0.619
0.740 0.122 0.057
0.878 0.260 0.443
0.980 0.427 0.813
0.407 0.593 0.750
0.593 0.407 0.250
```